Record 1
Density functional theory data (PBE) for crystalline Ni2Pb2Au at its relaxed geometry.

SG: I4/mmm (139)

a b c (Å): 3.466 3.466 8.724
angles (deg): 78.54 78.54 90.00
Fractional coordinates of all 5 atoms:
Ni (0.750, 0.250, 0.500)
Ni (0.250, 0.750, 0.500)
Pb (0.380, 0.380, 0.240)
Pb (0.620, 0.620, 0.760)
Au (0.000, 0.000, 0.000)

***

Record 2
Density functional theory data (PBE) for crystalline NiPbAu at its relaxed geometry.

SG: P3m1 (156)

a b c (Å): 4.191 4.191 3.999
angles (deg): 90.00 90.00 120.00
Fractional coordinates of all 3 atoms:
Au (0.000, 0.000, 0.076)
Ni (0.667, 0.333, 0.293)
Pb (0.333, 0.667, 0.631)

***

Record 3
Density functional theory data (PBE) for crystalline NiPbAu at its relaxed geometry.

SG: Ima2 (46)

a b c (Å): 5.358 6.461 8.433
angles (deg): 90.00 129.39 90.00
Fractional coordinates of all 12 atoms:
Au (0.926, 0.981, 0.676)
Au (0.074, 0.981, 0.324)
Au (0.074, 0.481, 0.824)
Au (0.926, 0.481, 0.176)
Ni (0.500, 0.161, 0.000)
Ni (0.000, 0.661, 0.500)
Ni (0.000, 0.161, 0.000)
Ni (0.500, 0.661, 0.500)
Pb (0.415, 0.813, 0.166)
Pb (0.585, 0.313, 0.334)
Pb (0.415, 0.313, 0.666)
Pb (0.585, 0.813, 0.834)

***

Record 4
Density functional theory data (PBE) for crystalline NiPbAu3 at its relaxed geometry.

SG: Pm-3m (221)

a b c (Å): 4.843 4.843 4.843
angles (deg): 90.00 90.00 90.00
Fractional coordinates of all 5 atoms:
Au (0.000, 0.500, 0.000)
Au (0.000, 0.000, 0.500)
Au (0.500, 0.000, 0.000)
Pb (0.500, 0.500, 0.500)
Ni (0.000, 0.000, 0.000)

***

Record 5
Density functional theory data (PBE) for crystalline NiPbAu at its relaxed geometry.

SG: Ama2 (40)

a b c (Å): 4.228 8.902 6.331
angles (deg): 90.00 90.00 90.00
Fractional coordinates of all 12 atoms:
Pb (0.750, 0.339, 0.230)
Pb (0.250, 0.661, 0.230)
Pb (0.750, 0.839, 0.730)
Pb (0.250, 0.161, 0.730)
Au (0.250, 0.111, 0.276)
Au (0.250, 0.611, 0.776)
Au (0.750, 0.389, 0.776)
Au (0.750, 0.889, 0.276)
Ni (0.250, 0.405, 0.478)
Ni (0.750, 0.095, 0.978)
Ni (0.250, 0.905, 0.978)
Ni (0.750, 0.595, 0.478)

***

Record 6
Density functional theory data (PBE) for crystalline NiPb2Au2 at its relaxed geometry.

SG: P4/mbm (127)

a b c (Å): 6.925 6.925 4.702
angles (deg): 90.00 90.00 90.00
Fractional coordinates of all 10 atoms:
Au (0.853, 0.647, 0.000)
Au (0.147, 0.353, 0.000)
Au (0.353, 0.853, 0.000)
Au (0.647, 0.147, 0.000)
Pb (0.175, 0.675, 0.500)
Pb (0.825, 0.325, 0.500)
Pb (0.325, 0.175, 0.500)
Pb (0.675, 0.825, 0.500)
Ni (0.000, 0.000, 0.000)
Ni (0.500, 0.500, 0.000)

***

Record 7
Density functional theory data (PBE) for crystalline NiPbAu3 at its relaxed geometry.

SG: Pm-3m (221)

a b c (Å): 5.292 5.292 5.292
angles (deg): 90.00 90.00 90.00
Last column: magnetic moment on the atom in μB.
Fractional coordinates of all 5 atoms:
Ni (0.500, 0.500, 0.500)  0.89
Au (0.500, 0.000, 0.000)  0.01
Au (0.000, 0.000, 0.500)  0.02
Au (0.000, 0.500, 0.000)  0.01
Pb (0.000, 0.000, 0.000)  0.03

***

Record 8
Density functional theory data (PBE) for crystalline NiPbAu at its relaxed geometry.

SG: Fmm2 (42)

a b c (Å): 5.717 5.720 3.309
angles (deg): 73.14 73.23 33.63
Fractional coordinates of all 3 atoms:
Au (0.026, 0.026, 0.974)
Pb (0.319, 0.319, 0.681)
Ni (0.656, 0.656, 0.344)

***

Record 9
Density functional theory data (PBE) for crystalline NiPbAu at its relaxed geometry.

SG: P4/nmm (129)

a b c (Å): 4.246 4.246 6.540
angles (deg): 90.00 90.00 90.00
Fractional coordinates of all 6 atoms:
Ni (0.000, 0.000, 0.500)
Ni (0.500, 0.500, 0.500)
Au (0.000, 0.500, 0.745)
Au (0.500, 0.000, 0.255)
Pb (0.500, 0.000, 0.801)
Pb (0.000, 0.500, 0.199)

***

Record 10
Density functional theory data (PBE) for crystalline Ni2Pb2Au at its relaxed geometry.

SG: P4/mbm (127)

a b c (Å): 7.041 7.041 3.765
angles (deg): 90.00 90.00 90.00
Fractional coordinates of all 10 atoms:
Ni (0.370, 0.870, 0.000)
Ni (0.130, 0.370, 0.000)
Ni (0.870, 0.630, 0.000)
Ni (0.630, 0.130, 0.000)
Au (0.000, 0.000, 0.000)
Au (0.500, 0.500, 0.000)
Pb (0.330, 0.170, 0.500)
Pb (0.830, 0.330, 0.500)
Pb (0.670, 0.830, 0.500)
Pb (0.170, 0.670, 0.500)

***

Record 11
Density functional theory data (PBE) for crystalline PrNiPbAu at its relaxed geometry.

SG: F-43m (216)

a b c (Å): 5.020 5.020 5.020
angles (deg): 60.00 60.00 60.00
Fractional coordinates of all 4 atoms:
Au (0.750, 0.750, 0.750)
Pr (0.000, 0.000, 0.000)
Pb (0.500, 0.500, 0.500)
Ni (0.250, 0.250, 0.250)

***

Record 12
Density functional theory data (PBE) for crystalline NiRhPbAu at its relaxed geometry.

SG: F-43m (216)

a b c (Å): 4.563 4.563 4.563
angles (deg): 60.00 60.00 60.00
Fractional coordinates of all 4 atoms:
Au (0.500, 0.500, 0.500)
Ni (0.750, 0.750, 0.750)
Rh (0.250, 0.250, 0.250)
Pb (0.000, 0.000, 0.000)

***

Record 13
Density functional theory data (PBE) for crystalline TbNiPbAu at its relaxed geometry.

SG: F-43m (216)

a b c (Å): 4.912 4.912 4.912
angles (deg): 60.00 60.00 60.00
Fractional coordinates of all 4 atoms:
Pb (0.500, 0.500, 0.500)
Au (0.750, 0.750, 0.750)
Ni (0.250, 0.250, 0.250)
Tb (0.000, 0.000, 0.000)

***

Record 14
Density functional theory data (PBE) for crystalline ThNiPbAu at its relaxed geometry.

SG: F-43m (216)

a b c (Å): 5.007 5.007 5.007
angles (deg): 60.00 60.00 60.00
Fractional coordinates of all 4 atoms:
Ni (0.750, 0.750, 0.750)
Th (0.500, 0.500, 0.500)
Pb (0.000, 0.000, 0.000)
Au (0.250, 0.250, 0.250)

***

Record 15
Density functional theory data (PBE) for crystalline TmNiPbAu at its relaxed geometry.

SG: F-43m (216)

a b c (Å): 4.867 4.867 4.867
angles (deg): 60.00 60.00 60.00
Fractional coordinates of all 4 atoms:
Pb (0.250, 0.250, 0.250)
Tm (0.750, 0.750, 0.750)
Ni (0.500, 0.500, 0.500)
Au (0.000, 0.000, 0.000)

***

Record 16
Density functional theory data (PBE) for crystalline NiPb2WAu at its relaxed geometry.

SG: P4/mmm (123)

a b c (Å): 5.452 4.515 5.452
angles (deg): 90.00 90.00 90.00
Fractional coordinates of all 5 atoms:
Pb (0.000, 0.000, 0.500)
Pb (0.500, 0.000, 0.000)
W (0.000, 0.000, 0.000)
Ni (0.000, 0.500, 0.000)
Au (0.500, 0.500, 0.500)

***

Record 17
Density functional theory data (PBE) for crystalline YNiPbAu2 at its relaxed geometry.

SG: P4/mmm (123)

a b c (Å): 5.204 5.925 5.204
angles (deg): 90.00 90.00 90.00
Last column: magnetic moment on the atom in μB.
Fractional coordinates of all 5 atoms:
Y (0.000, 0.500, 0.000)  -0.06
Pb (0.000, 0.000, 0.000)  0.01
Ni (0.500, 0.500, 0.500)  0.83
Au (0.000, 0.000, 0.500)  0.01
Au (0.500, 0.000, 0.000)  0.01

***

Record 18
Density functional theory data (PBE) for crystalline YNiPbAu at its relaxed geometry.

SG: F-43m (216)

a b c (Å): 4.910 4.910 4.910
angles (deg): 60.00 60.00 60.00
Fractional coordinates of all 4 atoms:
Y (0.250, 0.250, 0.250)
Pb (0.750, 0.750, 0.750)
Au (0.000, 0.000, 0.000)
Ni (0.500, 0.500, 0.500)

***

Record 19
Density functional theory data (PBE) for crystalline NiPd5Au4 at its relaxed geometry.

SG: Pmmn (59)

a b c (Å): 4.734 9.021 8.106
angles (deg): 90.00 90.00 90.00
Last column: magnetic moment on the atom in μB.
Fractional coordinates of all 20 atoms:
Au (0.754, 0.661, 0.500)  0.02
Au (0.064, 0.500, 0.182)  0.02
Au (0.754, 0.339, 0.500)  0.02
Au (0.936, 0.000, 0.682)  0.02
Au (0.064, 0.500, 0.818)  0.02
Au (0.246, 0.839, 0.000)  0.02
Au (0.246, 0.161, 0.000)  0.02
Au (0.936, 0.000, 0.318)  0.02
Ni (0.743, 0.000, 0.000)  0.82
Ni (0.257, 0.500, 0.500)  0.82
Pd (0.740, 0.248, 0.835)  0.14
Pd (0.260, 0.748, 0.665)  0.14
Pd (0.740, 0.752, 0.165)  0.14
Pd (0.260, 0.252, 0.335)  0.14
Pd (0.445, 0.000, 0.500)  0.09
Pd (0.260, 0.748, 0.335)  0.14
Pd (0.740, 0.752, 0.835)  0.14
Pd (0.555, 0.500, 0.000)  0.09
Pd (0.740, 0.248, 0.165)  0.14
Pd (0.260, 0.252, 0.665)  0.14

***

Record 20
Density functional theory data (PBE) for crystalline NiPd4Au3 at its relaxed geometry.

SG: Fmmm (69)

a b c (Å): 4.001 4.001 8.464
angles (deg): 103.71 103.71 89.90
Last column: magnetic moment on the atom in μB.
Fractional coordinates of all 8 atoms:
Pd (0.620, 0.619, 0.239)  0.14
Pd (0.881, 0.880, 0.761)  0.14
Pd (0.119, 0.120, 0.239)  0.14
Pd (0.380, 0.381, 0.761)  0.14
Au (0.000, 0.500, 0.000)  0.02
Au (0.750, 0.250, 0.500)  0.01
Au (0.250, 0.750, 0.500)  0.01
Ni (0.500, 0.000, 0.000)  0.82

***

Record 21
Density functional theory data (PBE) for crystalline NiPdAu2 at its relaxed geometry.

SG: R3m (160)

a b c (Å): 2.848 2.848 9.157
angles (deg): 81.05 81.05 60.00
Last column: magnetic moment on the atom in μB.
Fractional coordinates of all 4 atoms:
Au (0.255, 0.255, 0.236)  -0.01
Au (0.079, 0.079, 0.764)  -0.01
Ni (0.667, 0.667, 0.999)  0.51
Pd (0.500, 0.500, 0.501)  0.02

***

Record 22
Density functional theory data (PBE) for crystalline NiPd3Au at its relaxed geometry.

SG: Pm-3m (221)

a b c (Å): 4.542 4.542 4.542
angles (deg): 90.00 90.00 90.00
Last column: magnetic moment on the atom in μB.
Fractional coordinates of all 5 atoms:
Pd (0.000, 0.000, 0.500)  0.09
Pd (0.500, 0.000, 0.000)  0.02
Pd (0.000, 0.500, 0.000)  0.06
Ni (0.000, 0.000, 0.000)  0.43
Au (0.500, 0.500, 0.500)  0.00

***

Record 23
Density functional theory data (PBE) for crystalline NiPdAu at its relaxed geometry.

SG: C2/m (12)

a b c (Å): 3.945 4.857 5.538
angles (deg): 110.33 90.06 65.98
Last column: magnetic moment on the atom in μB.
Fractional coordinates of all 6 atoms:
Ni (0.344, 0.812, 0.080)  0.70
Ni (0.656, 0.188, 0.920)  0.70
Pd (0.987, 0.527, 0.768)  0.16
Pd (0.013, 0.473, 0.232)  0.16
Au (0.675, 0.150, 0.398)  0.01
Au (0.325, 0.850, 0.602)  0.01

***

Record 24
Density functional theory data (PBE) for crystalline NiPd2Au2 at its relaxed geometry.

SG: I4/mmm (139)

a b c (Å): 3.704 3.704 7.271
angles (deg): 104.76 104.76 90.00
Last column: magnetic moment on the atom in μB.
Fractional coordinates of all 5 atoms:
Au (0.750, 0.250, 0.500)  0.01
Au (0.250, 0.750, 0.500)  0.01
Ni (0.000, 0.000, 0.000)  1.05
Pd (0.593, 0.593, 0.187)  0.20
Pd (0.407, 0.407, 0.813)  0.20

***

Record 25
Density functional theory data (PBE) for crystalline NiPd8Au2 at its relaxed geometry.

SG: C2/m (12)

a b c (Å): 4.915 8.726 8.726
angles (deg): 34.66 59.53 59.53
Last column: magnetic moment on the atom in μB.
Fractional coordinates of all 11 atoms:
Pd (0.217, 0.334, 0.836)  0.14
Pd (0.783, 0.666, 0.164)  0.14
Pd (0.783, 0.164, 0.666)  0.14
Pd (0.724, 0.583, 0.583)  0.14
Pd (0.130, 0.742, 0.742)  0.08
Pd (0.217, 0.836, 0.334)  0.14
Pd (0.870, 0.258, 0.258)  0.08
Pd (0.276, 0.417, 0.417)  0.14
Au (0.521, 0.175, 0.175)  0.03
Au (0.479, 0.825, 0.825)  0.03
Ni (0.000, 0.000, 0.000)  0.81

***

Record 26
Density functional theory data (PBE) for crystalline Ni2Pd6Au at its relaxed geometry.

SG: C2/c (15)

a b c (Å): 5.100 8.509 8.509
angles (deg): 48.94 95.07 95.07
Last column: magnetic moment on the atom in μB.
Fractional coordinates of all 18 atoms:
Pd (0.128, 0.605, 0.554)  0.26
Pd (0.872, 0.395, 0.446)  0.26
Pd (0.645, 0.598, 0.048)  0.30
Pd (0.664, 0.020, 0.755)  0.22
Pd (0.145, 0.048, 0.598)  0.30
Pd (0.836, 0.245, 0.980)  0.22
Pd (0.372, 0.446, 0.395)  0.26
Pd (0.336, 0.980, 0.245)  0.22
Pd (0.855, 0.952, 0.402)  0.30
Pd (0.355, 0.402, 0.952)  0.30
Pd (0.628, 0.554, 0.605)  0.26
Pd (0.164, 0.755, 0.020)  0.22
Au (0.750, 0.827, 0.173)  0.03
Au (0.250, 0.173, 0.827)  0.03
Ni (0.540, 0.199, 0.348)  0.94
Ni (0.460, 0.801, 0.652)  0.94
Ni (0.040, 0.348, 0.199)  0.94
Ni (0.960, 0.652, 0.801)  0.94

***

no.,ΔE_f (eV per atom)
1,0.21
2,0.21
3,0.06
4,0.34
5,0.05
6,0.17
7,1.18
8,0.19
9,0.06
10,0.11
11,-0.31
12,0.11
13,-0.34
14,-0.32
15,-0.33
16,1.07
17,0.95
18,-0.34
19,0.14
20,-0.01
21,0.08
22,0.75
23,0.05
24,0.52
25,0.15
26,0.12